Entry 1:
8
Lattice="-0.388 2.871 -0.279 0.070 -0.431 -4.531 -5.209 -0.706 -0.014" Properties=species:S:1:pos:R:3 comment="ZnH2Ru PBE-GGA relaxed" relative_energy_mev_per_atom=24 magnetic_moment_mub_per_fu=0.000 pbc="T T T"
H -4.312 0.728 -1.685
Ru -2.759 0.837 -2.724
Zn -2.599 -0.387 -0.361
Ru 0.030 -0.186 -1.954
H -3.626 -0.783 -3.007
Zn -0.129 1.038 -4.316
H -1.238 1.145 -1.677
H -1.490 -0.493 -3.001


Entry 2:
4
Lattice="4.098 0.000 0.000 2.049 3.549 0.000 2.049 1.183 3.346" Properties=species:S:1:pos:R:3 comment="BeCoIrRh PBE-GGA relaxed" magnetic_moment_mub_per_fu=3.097 ef_ev_per_atom=-0.1397 pbc="T T T"
Rh 4.098 2.366 1.673
Co 6.146 3.549 2.509
Be 2.049 1.183 0.836
Ir 0.000 0.000 0.000


Entry 3:
4
Lattice="3.154 0.000 0.000 0.000 3.154 0.000 0.000 0.000 7.981" Properties=species:S:1:pos:R:3 comment="Ce2ZrH PBE-GGA relaxed" relative_energy_mev_per_atom=0 magnetic_moment_mub_per_fu=0.000 pbc="T T T"
H 1.577 1.577 0.000
Ce 0.000 0.000 1.424
Zr 1.577 1.577 3.990
Ce 0.000 0.000 6.557